Record 1
This record from the Alexandria database describes an optimized crystal structure of CuPb2Au. The functional is PBE. Values from VASP.

Quantum ESPRESSO input file:
```
&SYSTEM
  ibrav = 0, nat = 4, ntyp = 3
/
ATOMIC_SPECIES
Au 196.97 Au.upf
Cu 63.55 Cu.upf
Pb 207.20 Pb.upf
ATOMIC_POSITIONS crystal
Au 0.000 0.000 0.556
Cu 0.500 0.500 0.702
Pb 0.000 0.000 0.939
Pb 0.500 0.500 0.302
CELL_PARAMETERS angstrom
3.440 0.000 0.000
0.000 3.379 0.000
0.000 0.000 8.005
```

Output
calculated density: 12.042 g cm⁻³
M_tot: 0.0 μB/f.u.
calculated formation energy: 48 meV/atom
excess energy over the best structure of this formula in the dataset: 12 meV/atom

=====

Record 2
This record from the Alexandria database describes an optimized crystal structure of Ca2TlTcPb. The functional is PBE. Values from VASP.

Quantum ESPRESSO input file:
```
&SYSTEM
  ibrav = 0, nat = 5, ntyp = 4
/
ATOMIC_SPECIES
Pb 207.20 Pb.upf
Tl 204.38 Tl.upf
Ca 40.08 Ca.upf
Tc 98.00 Tc.upf
ATOMIC_POSITIONS crystal
Pb 0.000 0.500 0.000
Tl 0.500 0.500 0.500
Ca 0.000 0.000 0.500
Ca 0.500 0.000 0.000
Tc 0.000 0.000 0.000
CELL_PARAMETERS angstrom
5.498 0.000 0.000
0.000 5.323 0.000
0.000 0.000 5.498
```

Output
calculated density: 6.086 g cm⁻³
M_tot: 0.7 μB/f.u.
calculated formation energy: 255 meV/atom

=====

Record 3
This record from the Alexandria database describes an optimized crystal structure of Na3In4Pd4. The functional is PBE. Values from VASP.

Quantum ESPRESSO input file:
```
&SYSTEM
  ibrav = 0, nat = 11, ntyp = 3
/
ATOMIC_SPECIES
Na 22.99 Na.upf
In 114.82 In.upf
Pd 106.42 Pd.upf
ATOMIC_POSITIONS crystal
Na 0.500 0.500 0.000
Na 0.500 0.000 0.500
Na 0.000 0.500 0.500
In 0.000 0.610 0.000
In 0.610 0.000 0.000
In 0.000 0.000 0.610
In 0.390 0.390 0.390
Pd 0.000 0.246 0.000
Pd 0.000 0.000 0.246
Pd 0.246 0.000 0.000
Pd 0.754 0.754 0.754
CELL_PARAMETERS angstrom
-1.680 5.253 4.450
-1.420 -6.232 3.060
6.903 0.345 -1.564
```

Output
calculated density: 5.782 g cm⁻³
M_tot: 0.0 μB/f.u.
calculated formation energy: -320 meV/atom

=====

Record 4
This record from the Alexandria database describes an optimized crystal structure of Zn3In12S5. The functional is PBE. Values from VASP.

Quantum ESPRESSO input file:
```
&SYSTEM
  ibrav = 0, nat = 80, ntyp = 3
/
ATOMIC_SPECIES
Zn 65.41 Zn.upf
S 32.06 S.upf
In 114.82 In.upf
ATOMIC_POSITIONS crystal
Zn 0.750 0.375 0.125
Zn 0.875 0.750 0.125
Zn 0.375 0.750 0.625
Zn 0.250 0.125 0.375
Zn 0.875 0.125 0.250
Zn 0.375 0.625 0.250
Zn 0.625 0.375 0.750
Zn 0.125 0.875 0.750
Zn 0.750 0.875 0.625
Zn 0.625 0.250 0.375
Zn 0.125 0.250 0.875
Zn 0.250 0.625 0.875
S 0.125 0.375 0.250
S 0.000 0.500 0.000
S 0.000 0.000 0.000
S 0.375 0.250 0.125
S 0.500 0.000 0.500
S 0.500 0.500 0.000
S 0.125 0.750 0.375
S 0.750 0.125 0.875
S 0.750 0.625 0.375
S 0.375 0.125 0.750
S 0.625 0.875 0.250
S 0.500 0.500 0.500
S 0.500 0.000 0.000
S 0.000 0.000 0.500
S 0.250 0.375 0.625
S 0.250 0.875 0.125
S 0.000 0.500 0.500
S 0.875 0.250 0.625
S 0.625 0.750 0.875
S 0.875 0.625 0.750
In 0.731 0.134 0.059
In 0.328 0.559 0.424
In 0.941 0.366 0.269
In 0.559 0.231 0.134
In 0.596 0.731 0.672
In 0.941 0.576 0.172
In 0.328 0.769 0.404
In 0.076 0.904 0.134
In 0.576 0.941 0.672
In 0.731 0.596 0.172
In 0.769 0.441 0.366
In 0.828 0.924 0.059
In 0.134 0.731 0.559
In 0.366 0.424 0.096
In 0.096 0.924 0.366
In 0.404 0.134 0.576
In 0.096 0.172 0.231
In 0.441 0.672 0.076
In 0.828 0.904 0.269
In 0.134 0.404 0.076
In 0.366 0.941 0.769
In 0.576 0.634 0.404
In 0.924 0.828 0.559
In 0.769 0.328 0.904
In 0.424 0.366 0.596
In 0.076 0.172 0.441
In 0.231 0.672 0.096
In 0.172 0.096 0.731
In 0.634 0.059 0.231
In 0.866 0.596 0.924
In 0.559 0.328 0.924
In 0.596 0.866 0.424
In 0.904 0.828 0.769
In 0.904 0.076 0.634
In 0.866 0.269 0.441
In 0.172 0.076 0.941
In 0.634 0.576 0.904
In 0.424 0.059 0.328
In 0.269 0.404 0.828
In 0.231 0.559 0.634
In 0.924 0.096 0.866
In 0.672 0.231 0.596
In 0.441 0.769 0.866
In 0.059 0.424 0.828
In 0.404 0.269 0.328
In 0.059 0.634 0.731
In 0.672 0.441 0.576
In 0.269 0.866 0.941
CELL_PARAMETERS angstrom
14.275 0.000 0.000
-4.758 13.458 0.000
-4.758 -6.729 11.655
```

Output
calculated density: 5.145 g cm⁻³
M_tot: 0.0 μB/f.u.
raw formation energy: -0.7 eV per formula unit